5
Lattice="4.223 0.000 0.000 0.000 4.223 0.000 0.000 0.000 4.223" Properties=species:S:1:pos:R:3 comment="SbP3N (PBE, relaxed)" space_group="Pm-3m, No. 221" e_form_raw_ev_per_atom=0.867 magmom_total_mub_per_fu=0.00 de_polymorph_mev_per_atom=0.0 pbc="T T T"
Sb 2.111 2.111 2.111
N 0.000 0.000 0.000
P 0.000 2.111 0.000
P 0.000 0.000 2.111
P 2.111 0.000 0.000